First-principles (GGA-PBE) data for Al3ZnGa after structural relaxation, as listed in Alexandria via LeMat-Bulk.

Unit cell a=4.7687 b=5.9101 c=6.3200 alpha=90.00 beta=104.73 gamma=90.00
Space group P2_1/m (No. 11)
Unique sites:
Al 0.1226 0.2500 0.2424
Al 0.3110 0.5017 0.6276
Zn 0.4931 0.7500 0.9977
Ga 0.0974 0.7500 0.2231

Formation enthalpy at 0 K ... 6.1 kJ per mole of atoms